Entry 1:
Here is an optimized crystal structure of Ba2CoTePd from Alexandria via LeMat-Bulk. Energies are from GGA-PBE.

Structure (extended XYZ):
```
5
Lattice="6.113 0.000 0.000 0.000 6.113 0.000 0.000 0.000 4.724" Properties=species:S:1:pos:R:3 pbc="T T T"
Ba 0.000 3.057 0.000
Ba 3.057 0.000 0.000
Co 0.000 0.000 2.362
Te 3.057 3.057 2.362
Pd 0.000 0.000 0.000
```

Density of states at the Fermi level in states/eV per cell: 3.2
Raw formation energy in meV per atom: -374
Magnetic moment in μB per cell: 1.89
Electronic total energy in eV per formula unit: -21.16

Entry 2:
Here is an optimized crystal structure of BaPmCo from Alexandria via LeMat-Bulk. Energies are from GGA-PBE.

Structure (extended XYZ):
```
12
Lattice="8.101 0.000 0.000 0.000 4.670 0.000 -2.689 0.000 11.222" Properties=species:S:1:pos:R:3 pbc="T T T"
Ba 1.362 0.000 2.005
Ba 0.000 2.335 9.216
Ba 5.413 2.335 2.005
Ba 4.051 0.000 9.216
Pm 0.006 2.335 4.642
Pm 1.357 0.000 6.579
Pm 4.056 0.000 4.642
Pm 5.407 2.335 6.579
Co -1.343 0.000 6.771
Co 2.705 2.335 4.450
Co 2.708 2.335 6.771
Co 6.756 0.000 4.450
```

Density of states at the Fermi level in states/eV per cell: 11.8
Magnetic moment in μB per cell: 0.02
Energy relative to the elements in meV/atom: 146
Electronic total energy in eV per formula unit: -13.34

The highest density of states at the Fermi level belongs to which entry? BaPmCo

magnetic moment of number 2 (BaPmCo)? 0.02 μB per cell